This record from Alexandria describes a relaxed structure of SrCaNdTl. The functional is PBE.

Cell: 5.823 5.823 5.823 Å, 60.00 60.00 60.00°
Fractional coordinates of all 4 atoms:
Sr: 0.000 0.000 0.000
Ca: 0.250 0.250 0.250
Nd: 0.500 0.500 0.500
Tl: 0.750 0.750 0.750

Space group: No. 216
Calculated total energy in eV/cell: -11.17
N(E_F) in states/eV per cell: 3.79
ΔH_f (0 K) in eV/atom: -0.089
Total magnetic moment in μB per formula unit: 0.00